! AgN3Cl | Alexandria | PBE-GGA | relaxed; values from VASP
! DFT total energy = -3.30 eV per atom
! Formation energy without anion corrections = 2638 meV/atom
&SYSTEM
  ibrav = 0, nat = 5, ntyp = 3
/
ATOMIC_SPECIES
N 14.01 N.upf
Ag 107.87 Ag.upf
Cl 35.45 Cl.upf
ATOMIC_POSITIONS angstrom
N 0.5495 -0.4931 -1.9748
N 1.6078 -1.1492 0.7343
N -1.2482 -1.6974 0.0765
Ag 0.0000 0.0000 0.0000
Cl 0.9091 -3.3396 -1.1640
CELL_PARAMETERS angstrom
-2.4963 -3.3947 0.1529
1.0990 -0.9861 -3.9495
3.2155 -2.2984 1.4686

---

! AgNCl2 | Alexandria | PBE-GGA | relaxed; values from VASP
! E above lowest polymorph = 217 kJ/mol of formula units
! DFT total energy = -2.46 eV per atom
! Formation energy without anion corrections = 1259 meV/atom
&SYSTEM
  ibrav = 0, nat = 4, ntyp = 3
/
ATOMIC_SPECIES
N 14.01 N.upf
Ag 107.87 Ag.upf
Cl 35.45 Cl.upf
ATOMIC_POSITIONS angstrom
N 0.0000 0.0000 0.0000
Ag -3.6908 -1.7748 4.0422
Cl -1.8454 -0.8874 2.0211
Cl -5.5362 -2.6621 6.0633
CELL_PARAMETERS angstrom
-3.2012 -3.2554 1.1087
-0.4060 -1.4787 4.4410
-3.7745 1.1845 2.5346

---

! AgNCl2 | Alexandria | PBE-GGA | relaxed; values from VASP
! E above lowest polymorph = 134 kJ/mol of formula units
! DFT total energy = -2.67 eV per atom
! Formation energy without anion corrections = 1045 meV/atom
&SYSTEM
  ibrav = 0, nat = 8, ntyp = 3
/
ATOMIC_SPECIES
N 14.01 N.upf
Ag 107.87 Ag.upf
Cl 35.45 Cl.upf
ATOMIC_POSITIONS angstrom
N -0.8638 -1.4343 -3.2797
N -4.1554 -3.7803 -3.4539
Ag 0.0000 0.0000 0.0000
Ag -4.4376 -0.3897 -4.8624
Cl -2.3943 0.1047 -3.1491
Cl -2.3341 -2.9069 -2.6489
Cl -5.8532 -2.5192 -3.9588
Cl -6.6044 -3.0187 -6.8759
CELL_PARAMETERS angstrom
-1.1461 1.9563 -4.6881
-0.5816 -4.8249 -1.8712
-6.8653 -1.3014 -1.7570

---

! AgNCl2 | Alexandria | PBE-GGA | relaxed; values from VASP
! E above lowest polymorph = 0 kJ/mol of formula units
! DFT total energy = -3.02 eV per atom
! Formation energy without anion corrections = 697 meV/atom
&SYSTEM
  ibrav = 0, nat = 8, ntyp = 3
/
ATOMIC_SPECIES
Ag 107.87 Ag.upf
N 14.01 N.upf
Cl 35.45 Cl.upf
ATOMIC_POSITIONS angstrom
Ag 0.5499 -3.5154 0.5550
Ag 13.6956 -26.6193 -7.0715
N 4.4751 -10.0536 -0.5903
N 9.7704 -20.0812 -5.9262
Cl 5.6853 -13.7906 -2.3339
Cl 8.5602 -16.3442 -4.1826
Cl 11.2046 -24.9893 -5.5643
Cl 3.0409 -5.1455 -0.9522
CELL_PARAMETERS angstrom
-2.1476 -1.6463 2.0377
8.0243 -14.7599 -6.2830
8.3688 -13.7286 -2.2712

---

! AgNCl3 | Alexandria | PBE-GGA | relaxed; values from VASP
! E above lowest polymorph = 92 kJ/mol of formula units
! DFT total energy = -2.35 eV per atom
! Formation energy without anion corrections = 998 meV/atom
&SYSTEM
  ibrav = 0, nat = 5, ntyp = 3
/
ATOMIC_SPECIES
N 14.01 N.upf
Ag 107.87 Ag.upf
Cl 35.45 Cl.upf
ATOMIC_POSITIONS angstrom
N 2.4993 2.4993 2.4993
Ag 0.0000 0.0000 0.0000
Cl 0.0000 2.4993 0.0000
Cl 0.0000 0.0000 2.4993
Cl 2.4993 0.0000 0.0000
CELL_PARAMETERS angstrom
4.9986 0.0000 0.0000
0.0000 4.9986 0.0000
0.0000 0.0000 4.9986

---

! AgNCl | Alexandria | PBE-GGA | relaxed; values from VASP
! E above lowest polymorph = 0 kJ/mol of formula units
! DFT total energy = -4.62 eV per atom
! Formation energy without anion corrections = -275 meV/atom
&SYSTEM
  ibrav = 0, nat = 6, ntyp = 3
/
ATOMIC_SPECIES
Ag 107.87 Ag.upf
N 14.01 N.upf
Cl 35.45 Cl.upf
ATOMIC_POSITIONS angstrom
Ag 1.6161 0.1207 1.8982
Ag -0.7890 3.0480 3.8051
N 1.1924 0.0606 7.9739
N 1.4953 1.0150 8.4611
Cl -0.2945 1.6676 1.2699
Cl 2.9438 -0.1880 4.4872
CELL_PARAMETERS angstrom
4.2020 -0.9417 -0.4765
-1.2617 4.0814 -0.6624
0.1459 0.2269 10.6445

---

! AgN3Cl | Alexandria | PBE-GGA | relaxed; values from VASP
! DFT total energy = -3.09 eV per atom
! Formation energy without anion corrections = 2844 meV/atom
&SYSTEM
  ibrav = 0, nat = 5, ntyp = 3
/
ATOMIC_SPECIES
N 14.01 N.upf
Ag 107.87 Ag.upf
Cl 35.45 Cl.upf
ATOMIC_POSITIONS angstrom
N 0.0000 1.9306 0.0000
N 0.0000 0.0000 1.9306
N 1.9306 0.0000 0.0000
Ag 1.9306 1.9306 1.9306
Cl 0.0000 0.0000 0.0000
CELL_PARAMETERS angstrom
3.8613 0.0000 0.0000
0.0000 3.8613 0.0000
0.0000 0.0000 3.8613

---

! AgNCl3 | Alexandria | PBE-GGA | relaxed; values from VASP
! E above lowest polymorph = 0 kJ/mol of formula units
! DFT total energy = -2.54 eV per atom
! Formation energy without anion corrections = 807 meV/atom
&SYSTEM
  ibrav = 0, nat = 5, ntyp = 3
/
ATOMIC_SPECIES
N 14.01 N.upf
Ag 107.87 Ag.upf
Cl 35.45 Cl.upf
ATOMIC_POSITIONS angstrom
N 0.0000 0.0000 0.0000
Ag -2.3582 2.4508 1.8718
Cl -1.2625 -0.5221 1.7768
Cl 0.6416 1.8940 1.0124
Cl -1.7373 1.0789 -0.9174
CELL_PARAMETERS angstrom
-3.4746 2.1577 -1.8348
-2.5251 -1.0442 3.5537
1.2831 3.7880 2.0248

---

! AgNCl | Alexandria | PBE-GGA | relaxed; values from VASP
! E above lowest polymorph = 2 kJ/mol of formula units
! DFT total energy = -4.61 eV per atom
! Formation energy without anion corrections = -269 meV/atom
&SYSTEM
  ibrav = 0, nat = 12, ntyp = 3
/
ATOMIC_SPECIES
Cl 35.45 Cl.upf
N 14.01 N.upf
Ag 107.87 Ag.upf
ATOMIC_POSITIONS angstrom
Cl -6.9777 1.3091 3.0043
Cl -5.9978 -3.2444 3.3386
Cl -4.6165 -0.5447 0.8523
Cl -5.5964 4.0089 0.5180
N -2.7996 -4.7978 5.1463
N -10.3446 2.6832 1.0347
N -8.7946 5.5622 -1.2897
N -1.2496 -1.9187 2.8219
Ag -4.5021 0.0980 3.3522
Ag -7.4758 -0.9728 3.9484
Ag -7.0922 0.6665 0.5043
Ag -4.1184 1.7372 -0.0918
CELL_PARAMETERS angstrom
-2.3199 -2.4661 -2.2271
-1.5407 -4.1006 6.1457
-7.7336 7.3312 -0.0620

---

! Ag4N2Cl5 | Alexandria | PBE-GGA | relaxed; values from VASP
! DFT total energy = -3.14 eV per atom
! Formation energy without anion corrections = 249 meV/atom
&SYSTEM
  ibrav = 0, nat = 11, ntyp = 3
/
ATOMIC_SPECIES
Ag 107.87 Ag.upf
N 14.01 N.upf
Cl 35.45 Cl.upf
ATOMIC_POSITIONS angstrom
Ag 0.0000 13.7183 3.5192
Ag 0.0000 19.3391 6.8349
Ag 0.0000 6.3928 5.1640
Ag 0.0000 0.7720 1.8483
N 0.0000 18.0407 5.1011
N 0.0000 2.0704 3.5821
Cl 0.0000 1.3147 5.1058
Cl 0.0000 18.7964 3.5774
Cl 0.0000 4.9372 2.3517
Cl 0.0000 10.3317 0.3210
Cl 0.0000 15.1739 6.3315
CELL_PARAMETERS angstrom
1.7382 10.3317 0.3210
-1.7382 10.3317 0.3210
0.0000 -0.5524 8.0412

---

! Ag2N2Cl | Alexandria | PBE-GGA | relaxed; values from VASP
! E above lowest polymorph = 582 kJ/mol of formula units
! DFT total energy = -3.62 eV per atom
! Formation energy without anion corrections = 1221 meV/atom
&SYSTEM
  ibrav = 0, nat = 5, ntyp = 3
/
ATOMIC_SPECIES
N 14.01 N.upf
Ag 107.87 Ag.upf
Cl 35.45 Cl.upf
ATOMIC_POSITIONS angstrom
N 2.1680 2.1680 2.9152
N 4.3360 4.3360 2.0631
Ag 4.3360 2.1680 2.4892
Ag 2.1680 4.3360 2.4892
Cl 0.0000 0.0000 0.0000
CELL_PARAMETERS angstrom
4.3360 0.0000 0.0000
0.0000 4.3360 0.0000
2.1680 2.1680 4.9783

---

! AgOs2NCl | Alexandria | PBE-GGA | relaxed; values from VASP
! DFT total energy = -4.18 eV per atom
! Formation energy without anion corrections = 2917 meV/atom
&SYSTEM
  ibrav = 0, nat = 5, ntyp = 4
/
ATOMIC_SPECIES
N 14.01 N.upf
Os 190.23 Os.upf
Ag 107.87 Ag.upf
Cl 35.45 Cl.upf
ATOMIC_POSITIONS angstrom
N 0.4866 -0.6423 -1.7234
Os -1.2742 -2.2171 0.4665
Os -2.1659 1.0350 -0.9973
Ag 0.0000 0.0000 0.0000
Cl -2.9535 -1.8244 -2.2542
CELL_PARAMETERS angstrom
-4.3318 2.0699 -1.9946
0.9732 -1.2846 -3.4468
-2.5485 -4.4342 0.9330

---

! AgPNCl2 | Alexandria | PBE-GGA | relaxed; values from VASP
! E above lowest polymorph = 0 kJ/mol of formula units
! DFT total energy = -3.39 eV per atom
! Formation energy without anion corrections = 666 meV/atom
&SYSTEM
  ibrav = 0, nat = 5, ntyp = 4
/
ATOMIC_SPECIES
P 30.97 P.upf
N 14.01 N.upf
Ag 107.87 Ag.upf
Cl 35.45 Cl.upf
ATOMIC_POSITIONS angstrom
P -0.2680 -1.6338 0.0852
N 0.0000 0.0000 0.0000
Ag 0.8873 -2.0204 -3.6927
Cl 2.4491 -0.4690 -1.2884
Cl -1.2939 0.0824 -2.4895
CELL_PARAMETERS angstrom
-2.5877 0.1649 -4.9789
4.8983 -0.9379 -2.5769
-0.5361 -3.2676 0.1704

---

! Ag2PNCl | Alexandria | PBE-GGA | relaxed; values from VASP
! DFT total energy = -3.90 eV per atom
! Formation energy without anion corrections = 352 meV/atom
&SYSTEM
  ibrav = 0, nat = 5, ntyp = 4
/
ATOMIC_SPECIES
P 30.97 P.upf
N 14.01 N.upf
Ag 107.87 Ag.upf
Cl 35.45 Cl.upf
ATOMIC_POSITIONS angstrom
P 0.0000 0.0000 0.0000
N -0.5607 -1.4139 0.8372
Ag -2.3533 0.8978 -0.0598
Ag -0.3843 -1.1540 -2.2064
Cl -3.2982 -1.6701 -1.4290
CELL_PARAMETERS angstrom
-0.7685 -2.3081 -4.4128
-1.1214 -2.8277 1.6743
-4.7066 1.7957 -0.1195

---

! AgPNCl2 | Alexandria | PBE-GGA | relaxed; values from VASP
! E above lowest polymorph = 546 kJ/mol of formula units
! DFT total energy = -2.26 eV per atom
! Formation energy without anion corrections = 1798 meV/atom
&SYSTEM
  ibrav = 0, nat = 5, ntyp = 4
/
ATOMIC_SPECIES
P 30.97 P.upf
N 14.01 N.upf
Ag 107.87 Ag.upf
Cl 35.45 Cl.upf
ATOMIC_POSITIONS angstrom
P 0.0000 0.0000 2.5675
N 2.3828 2.3828 2.5675
Ag 0.0000 0.0000 0.0000
Cl 0.0000 2.3828 0.0000
Cl 2.3828 0.0000 0.0000
CELL_PARAMETERS angstrom
4.7656 0.0000 0.0000
0.0000 4.7656 0.0000
0.0000 0.0000 5.1351

---

! AgRuN2Cl | Alexandria | PBE-GGA | relaxed; values from VASP
! DFT total energy = -5.41 eV per atom
! Formation energy without anion corrections = 715 meV/atom
&SYSTEM
  ibrav = 0, nat = 5, ntyp = 4
/
ATOMIC_SPECIES
Ru 101.07 Ru.upf
N 14.01 N.upf
Ag 107.87 Ag.upf
Cl 35.45 Cl.upf
ATOMIC_POSITIONS angstrom
Ru 0.0000 0.0000 0.0000
N 1.3477 1.3368 0.0901
N -0.9890 0.9063 1.3460
Ag 1.6774 0.7820 3.3889
Cl 1.3187 -1.4611 1.9527
CELL_PARAMETERS angstrom
-1.9780 1.8127 2.6920
2.6373 -2.9222 3.9055
2.6954 2.6735 0.1802

---

! AgS2NCl | Alexandria | PBE-GGA | relaxed; values from VASP
! E above lowest polymorph = 407 kJ/mol of formula units
! DFT total energy = -2.62 eV per atom
! Formation energy without anion corrections = 1634 meV/atom
&SYSTEM
  ibrav = 0, nat = 5, ntyp = 4
/
ATOMIC_SPECIES
S 32.06 S.upf
N 14.01 N.upf
Ag 107.87 Ag.upf
Cl 35.45 Cl.upf
ATOMIC_POSITIONS angstrom
S -2.3576 0.0878 -0.9874
S -0.5926 1.9173 1.5855
N -0.5203 -1.1068 1.1439
Ag -3.4706 0.8984 1.7419
Cl 0.0000 0.0000 0.0000
CELL_PARAMETERS angstrom
-1.1852 3.8346 3.1710
-4.7152 0.1757 -1.9749
-1.0407 -2.2135 2.2878

---

! AgSN2Cl | Alexandria | PBE-GGA | relaxed; values from VASP
! E above lowest polymorph = 0 kJ/mol of formula units
! DFT total energy = -3.14 eV per atom
! Formation energy without anion corrections = 1955 meV/atom
&SYSTEM
  ibrav = 0, nat = 5, ntyp = 4
/
ATOMIC_SPECIES
S 32.06 S.upf
N 14.01 N.upf
Ag 107.87 Ag.upf
Cl 35.45 Cl.upf
ATOMIC_POSITIONS angstrom
S -2.0515 1.8280 0.3927
N -0.2479 -0.6883 1.9087
N -1.3544 -1.3757 -0.6719
Ag 0.0000 0.0000 0.0000
Cl -3.6538 -0.2359 1.6296
CELL_PARAMETERS angstrom
-2.7089 -2.7513 -1.3438
-0.4957 -1.3765 3.8175
-4.1030 3.6561 0.7855

---

! AgS2NCl | Alexandria | PBE-GGA | relaxed; values from VASP
! E above lowest polymorph = 352 kJ/mol of formula units
! DFT total energy = -2.74 eV per atom
! Formation energy without anion corrections = 1520 meV/atom
&SYSTEM
  ibrav = 0, nat = 5, ntyp = 4
/
ATOMIC_SPECIES
S 32.06 S.upf
N 14.01 N.upf
Ag 107.87 Ag.upf
Cl 35.45 Cl.upf
ATOMIC_POSITIONS angstrom
S 1.0852 -2.0592 -1.0096
S -2.2910 -1.0239 -0.3741
N 0.0849 -0.8765 1.8790
Ag 0.0000 0.0000 0.0000
Cl -1.1210 -3.9596 0.4953
CELL_PARAMETERS angstrom
-4.5821 -2.0478 -0.7482
2.1703 -4.1184 -2.0192
0.1698 -1.7530 3.7580

---

! AgS2NCl | Alexandria | PBE-GGA | relaxed; values from VASP
! E above lowest polymorph = 0 kJ/mol of formula units
! DFT total energy = -3.47 eV per atom
! Formation energy without anion corrections = 790 meV/atom
&SYSTEM
  ibrav = 0, nat = 5, ntyp = 4
/
ATOMIC_SPECIES
S 32.06 S.upf
N 14.01 N.upf
Ag 107.87 Ag.upf
Cl 35.45 Cl.upf
ATOMIC_POSITIONS angstrom
S 1.6412 -0.9745 0.1637
S -0.6016 -0.7337 1.6643
N 0.0000 0.0000 0.0000
Ag 2.6152 1.2609 3.7064
Cl 1.5756 2.9691 1.8785
CELL_PARAMETERS angstrom
-1.2033 -1.4674 3.3286
3.2825 -1.9490 0.3274
3.1512 5.9382 3.7569

---

no.,total moment (μB per formula unit),D(E_F) (states/eV/atom)
1,5.8,0.60
2,2.0,1.42
3,0.0,0.05
4,0.0,0.51
5,2.8,1.00
6,0.0,0.00
7,2.8,0.34
8,0.0,0.23
9,0.0,0.00
10,0.0,0.18
11,0.0,0.39
12,7.2,1.16
13,0.0,0.85
14,0.0,0.54
15,0.0,1.64
16,0.0,0.52
17,0.6,1.00
18,4.1,0.42
19,5.2,0.60
20,0.0,0.40